# 1
An optimized crystal structure of TlSiAuSeS2, computed with PBE-GGA.

Cell lengths 3.4273, 16.0683, 10.0165 Å; angles 90.00, 90.00, 90.00 degrees
Space group Cmcm (No. 63)
Symmetry-distinct sites (fractional):
Tl (0.0000, 0.2051, 0.2500) x4
Si (0.0000, 0.5000, 0.0000) x4
Au (0.0000, 0.1259, 0.7500) x4
Se (0.0000, 0.4568, 0.7500) x4
S (0.0000, 0.1019, 0.5205) x8

The calculation puts the total DFT energy (no corrections) at -4.006 eV per atom.

# 2
An optimized crystal structure of LaMgScPt, computed with PBE-GGA.

Cell lengths 6.9687, 6.9687, 6.9687 Å; angles 90.00, 90.00, 90.00 degrees
Space group F-43m (No. 216)
Symmetry-distinct sites (fractional):
La (0.0000, 0.0000, 0.0000) x4
Mg (0.2500, 0.2500, 0.2500) x4
Sc (0.2500, 0.2500, 0.7500) x4
Pt (0.0000, 0.0000, 0.5000) x4

The calculation puts the total magnetization at 0.0 μB/cell. The offset from the most stable computed form is 72 meV/atom.

# 3
An optimized crystal structure of HoSiPO, computed with PBE-GGA.

Cell lengths 5.5378, 5.5378, 4.5792 Å; angles 90.00, 90.00, 90.00 degrees
Space group P4/nmm (No. 129, origin choice 2)
Symmetry-distinct sites (fractional):
Ho (0.2500, 0.7500, 0.0000) x2
Si (0.2500, 0.2500, 0.4938) x2
P (0.2500, 0.2500, 0.9940) x2
O (0.2500, 0.7500, 0.5000) x2

The calculation puts the total magnetization at 0.0 μB/cell. The offset from the most stable computed form is 499 meV/atom.

# 4
An optimized crystal structure of CsCdRe, computed with PBE-GGA.

Cell lengths 7.1280, 7.1280, 7.1280 Å; angles 90.00, 90.00, 90.00 degrees
Space group F-43m (No. 216)
Symmetry-distinct sites (fractional):
Cs (0.0000, 0.0000, 0.0000) x4
Cd (0.0000, 0.0000, 0.5000) x4
Re (0.2500, 0.2500, 0.7500) x4

The calculation puts the total magnetization at 8.0 μB/cell. The calculation puts the total DFT energy (no corrections) at -2.774 eV per atom.

# 5
An optimized crystal structure of BaTbAg, computed with PBE-GGA.

Cell lengths 7.6273, 7.6273, 7.6273 Å; angles 90.00, 90.00, 90.00 degrees
Space group F-43m (No. 216)
Symmetry-distinct sites (fractional):
Ba (0.0000, 0.0000, 0.0000) x4
Tb (0.0000, 0.0000, 0.5000) x4
Ag (0.2500, 0.2500, 0.2500) x4

The calculation puts the total magnetization at 0.9 μB/cell. The offset from the most stable computed form is 0 meV/atom.

# 6
An optimized crystal structure of Mg2CdNi, computed with PBE-GGA.

Cell lengths 6.4915, 6.4915, 6.4915 Å; angles 90.00, 90.00, 90.00 degrees
Space group F-43m (No. 216)
Symmetry-distinct sites (fractional):
Mg (0.0000, 0.0000, 0.0000) x4
Mg (0.2500, 0.2500, 0.2500) x4
Cd (0.2500, 0.2500, 0.7500) x4
Ni (0.0000, 0.0000, 0.5000) x4

The calculation puts the total magnetization at 0.0 μB/cell. The calculation puts the total DFT energy (no corrections) at -2.442 eV per atom.